Computed, not measured: a geometry-optimized CeSc2 structure at the GGA-PBE level of DFT.

Geometry as CIF:
```
data_CeSc2
_symmetry_space_group_name_H-M 'P 1'
_symmetry_Int_Tables_number 1
_cell_length_a 3.255
_cell_length_b 3.255
_cell_length_c 7.627
_cell_angle_alpha 102.32
_cell_angle_beta 102.32
_cell_angle_gamma 90.00
loop_
_symmetry_equiv_pos_as_xyz
'x,y,z'
loop_
_atom_site_label
_atom_site_fract_x
_atom_site_fract_y
_atom_site_fract_z
Ce1 0.000 0.000 0.000
Sc1 0.668 0.668 0.337
Sc2 0.332 0.332 0.663
```

Computed properties:
calculated density = 4.959 g cm⁻³
DFT formation energy = 75.2 meV per atom
total magnetic moment = 0.29 μB/f.u.

=====

Computed, not measured: a geometry-optimized Ce4Sc structure at the GGA-PBE level of DFT.

Geometry as CIF:
```
data_Ce4Sc
_symmetry_space_group_name_H-M 'P 1'
_symmetry_Int_Tables_number 1
_cell_length_a 4.684
_cell_length_b 5.757
_cell_length_c 5.757
_cell_angle_alpha 80.48
_cell_angle_beta 66.00
_cell_angle_gamma 66.00
loop_
_symmetry_equiv_pos_as_xyz
'x,y,z'
loop_
_atom_site_label
_atom_site_fract_x
_atom_site_fract_y
_atom_site_fract_z
Ce1 0.204 0.199 0.392
Ce2 0.403 0.392 0.801
Ce3 0.597 0.608 0.199
Ce4 0.796 0.801 0.608
Sc1 0.000 0.000 0.000
```

Computed properties:
calculated density = 7.759 g cm⁻³
DFT formation energy = 51.1 meV per atom
total magnetic moment = 0.00 μB/f.u.

=====

Computed, not measured: a geometry-optimized Ce2Sc13 structure at the GGA-PBE level of DFT.

Geometry as CIF:
```
data_Ce2Sc13
_symmetry_space_group_name_H-M 'P 1'
_symmetry_Int_Tables_number 1
_cell_length_a 6.100
_cell_length_b 8.064
_cell_length_c 8.307
_cell_angle_alpha 111.15
_cell_angle_beta 83.35
_cell_angle_gamma 99.25
loop_
_symmetry_equiv_pos_as_xyz
'x,y,z'
loop_
_atom_site_label
_atom_site_fract_x
_atom_site_fract_y
_atom_site_fract_z
Sc1 0.000 0.000 0.000
Sc2 0.430 0.584 0.365
Sc3 0.570 0.416 0.635
Sc4 0.239 0.416 0.973
Sc5 0.147 0.801 0.260
Sc6 0.336 0.007 0.668
Sc7 0.664 0.993 0.332
Sc8 0.905 0.427 0.306
Sc9 0.853 0.199 0.740
Sc10 0.761 0.584 0.027
Sc11 0.095 0.573 0.694
Sc12 0.455 0.804 0.929
Sc13 0.545 0.196 0.071
Ce1 0.192 0.187 0.389
Ce2 0.808 0.813 0.611
```

Computed properties:
calculated density = 3.825 g cm⁻³
DFT formation energy = 69.8 meV per atom
total magnetic moment = 0.49 μB/f.u.

=====

Question: Look up the calculated density of the first one.
Answer: 4.959 g cm⁻³